First-principles (PBE) data for a relaxed MgTe2 crystal, as listed in Alexandria via LeMat-Bulk.

Unit cell a=4.181 b=4.181 c=12.298 alpha=90.00 beta=90.00 gamma=90.00
Space group P4/nmm (No. 129, origin choice 2)
One atom of each set of equivalent atoms:
1 Mg 0.250 0.250 0.092 [2 per cell]
2 Te 0.250 0.250 0.860 [2 per cell]
3 Te 0.250 0.750 0.500 [2 per cell]

Summary:
- calculated density (g cm⁻³) = 4.32
- uncorrected formation energy (eV per formula unit) = -1.30
- VASP energy (eV per atom) = -3.058